TlTcO3 after structural relaxation. Source: Alexandria, functional PBE-GGA.

```
TlTcO3
1.0
-3.1005 -0.5676 5.4374
1.8727 4.4126 4.0648
-4.3598 4.4969 0.5198
O Tl Tc
6 2 2
Direct
0.7500 0.9927 0.5073
0.2500 0.0073 0.4927
0.4927 0.2500 0.0073
0.5073 0.7500 0.9927
0.0073 0.4927 0.2500
0.9927 0.5073 0.7500
0.5000 0.5000 0.5000
0.0000 0.0000 0.0000
0.2500 0.2500 0.2500
0.7500 0.7500 0.7500
```

Computed properties:
DOS at the Fermi energy: 0.00 states/eV per cell
Density: 5.53 g/cm³
Raw formation energy: -4.803 eV per formula unit